An optimized crystal structure of Sm2Y5Th4. Source: Alexandria, functional GGA-PBE.

a = 16.8526 Å, b = 6.7117 Å, c = 6.5940 Å
α = 90.00°, β = 98.68°, γ = 90.00°
Space group C2/m (No. 12)
Unique sites:
Sm1 0.1982 0.0000 0.3266 [4 per cell]
Y1 0.0000 0.0000 0.5000 [2 per cell]
Y2 0.0867 0.2601 0.9055 [8 per cell]
Th1 0.0922 0.5000 0.4082 [4 per cell]
Th2 0.2492 0.0000 0.8405 [4 per cell]

Computed properties:
magnetic moment	0.00	μB per formula unit
formation energy	2.2	eV/f.u.

***

An optimized crystal structure of PrZnPb. Source: Alexandria, functional GGA-PBE.

a = 4.5272 Å, b = 4.5272 Å, c = 29.0270 Å
α = 90.00°, β = 90.00°, γ = 120.00°
Space group R-3m (No. 166, hexagonal axes)
Unique sites:
Pr1 0.0000 0.0000 0.0641 [6 per cell]
Zn1 0.0000 0.0000 0.3343 [6 per cell]
Pb1 0.0000 0.0000 0.1941 [6 per cell]

Computed properties:
magnetic moment	0.00	μB per formula unit
formation energy	-0.8	eV/f.u.

***

An optimized crystal structure of Zn4InBr. Source: Alexandria, functional GGA-PBE.

a = 7.8825 Å, b = 7.8825 Å, c = 7.8825 Å
α = 90.00°, β = 90.00°, γ = 90.00°
Space group F-43m (No. 216)
Unique sites:
Zn1 0.1239 0.1239 0.3761 [16 per cell]
In1 0.2500 0.2500 0.7500 [4 per cell]
Br1 0.0000 0.0000 0.0000 [4 per cell]

Computed properties:
magnetic moment	0.00	μB per formula unit
raw formation energy	0.11	eV per atom

***

An optimized crystal structure of HoErZr. Source: Alexandria, functional GGA-PBE.

a = 3.3304 Å, b = 4.9986 Å, c = 10.0722 Å
α = 90.00°, β = 99.38°, γ = 90.00°
Space group P2_1/m (No. 11)
Unique sites:
Ho1 0.0513 0.2500 0.0950 [2 per cell]
Er1 0.3693 0.2500 0.7421 [2 per cell]
Zr1 0.2135 0.2500 0.4251 [2 per cell]

Computed properties:
magnetic moment	0.00	μB per formula unit
formation energy	0.4	eV/f.u.

***

An optimized crystal structure of Sm2MnZn3Pt4. Source: Alexandria, functional GGA-PBE.

a = 4.0754 Å, b = 4.0754 Å, c = 11.3416 Å
α = 90.00°, β = 90.00°, γ = 90.00°
Space group P-4m2 (No. 115)
Unique sites:
Sm1 0.0000 0.5000 0.2439 [2 per cell]
Mn1 0.0000 0.0000 0.5000 [1 per cell]
Zn1 0.0000 0.5000 0.8655 [2 per cell]
Zn2 0.5000 0.5000 0.5000 [1 per cell]
Pt1 0.0000 0.0000 0.0000 [1 per cell]
Pt2 0.0000 0.5000 0.6450 [2 per cell]
Pt3 0.5000 0.5000 0.0000 [1 per cell]

Computed properties:
magnetic moment	4.05	μB per formula unit
formation energy	-7.2	eV/f.u.

***

An optimized crystal structure of KSr2GeBr8. Source: Alexandria, functional GGA-PBE.

a = 6.7846 Å, b = 9.3249 Å, c = 7.0132 Å
α = 90.00°, β = 90.23°, γ = 90.00°
Space group P2/m (No. 10)
Unique sites:
K1 0.0000 0.0000 0.0000 [1 per cell]
Sr1 0.5000 0.2549 0.5000 [2 per cell]
Ge1 0.0000 0.5000 0.0000 [1 per cell]
Br1 0.2275 0.2949 0.1456 [4 per cell]
Br2 0.2353 0.5000 0.6763 [2 per cell]
Br3 0.2656 0.0000 0.6344 [2 per cell]

Computed properties:
magnetic moment	0.00	μB per formula unit
raw formation energy	-1.44	eV per atom

***

An optimized crystal structure of NaScBeB. Source: Alexandria, functional GGA-PBE.

a = 6.0939 Å, b = 3.5167 Å, c = 7.0832 Å
α = 90.00°, β = 90.10°, γ = 90.00°
Space group Cm (No. 8)
Unique sites:
Na1 0.0000 0.0000 0.0000 [2 per cell]
Sc1 0.3339 0.0000 0.4572 [2 per cell]
Be1 0.1676 0.5000 0.6670 [2 per cell]
B1 0.0009 0.0000 0.6206 [2 per cell]

Computed properties:
magnetic moment	0.00	μB per formula unit
formation energy	0.4	eV/f.u.

***

An optimized crystal structure of LaUPd6. Source: Alexandria, functional GGA-PBE.

a = 4.1840 Å, b = 4.1840 Å, c = 8.3808 Å
α = 90.00°, β = 90.00°, γ = 90.00°
Space group P4/mmm (No. 123)
Unique sites:
La1 0.0000 0.0000 0.0000 [1 per cell]
U1 0.0000 0.0000 0.5000 [1 per cell]
Pd1 0.0000 0.5000 0.2601 [4 per cell]
Pd2 0.5000 0.5000 0.0000 [1 per cell]
Pd3 0.5000 0.5000 0.5000 [1 per cell]

Computed properties:
magnetic moment	2.02	μB per formula unit
formation energy	-5.4	eV/f.u.

***

Table of density of states at the Fermi level (states/eV/f.u.), in record order: 16.4, 2.4, 2.5, 4.4, 3.7, 5.9, 1.3, 9.9